The following is a DFT calculation (PBE-GGA) of a relaxed YTl2InCl6 crystal.

a = 7.836 Å, b = 7.835 Å, c = 8.010 Å
α = 60.70°, β = 60.70°, γ = 59.97°
Atoms (fractional coordinates):
Y 0.322 0.322 0.035
Tl 0.533 0.533 0.401
Tl 0.023 0.023 0.930
In 0.812 0.812 0.564
Cl 0.560 0.197 0.247
Cl 0.197 0.995 0.247
Cl 0.995 0.560 0.247
Cl 0.436 0.658 0.781
Cl 0.658 0.124 0.781
Cl 0.124 0.436 0.781

Computed properties:
Total magnetization = 0.0 μB per cell
E = -4.008 eV per atom
Volume = 35.13 A^3/atom
Space-group type = R3 (146)
Crystal system = trigonal